Entry A
The following is a DFT calculation (PBE) of a geometry-optimized NpUC structure.

Cell lengths 3.7052, 3.4926, 7.1764 Å; angles 90.00, 98.32, 90.00 degrees
Last column: nearest neighbours and their distance in Å.
Space group P2_1/m (No. 11)
Unique sites:
Np (0.1969, 0.2500, 0.4513) [2 per cell]  2 Np 2.44, 1 U 2.47, 3 C 2.61-2.66
U (0.1634, 0.7500, 0.8666) [2 per cell]  1 Np 2.47, 5 C 2.51-2.69
C (0.3877, 0.7500, 0.2138) [2 per cell]  5 U 2.51-2.69, 3 Np 2.61-2.66

Calculated values
DOS at the Fermi energy = 1.91 states/eV/atom

Entry B
The following is a DFT calculation (PBE) of a geometry-optimized NpUC structure.

Cell lengths 3.4547, 3.4547, 4.4960 Å; angles 90.00, 90.00, 120.00 degrees
Last column: nearest neighbours and their distance in Å.
Space group P3m1 (No. 156)
Unique sites:
Np (0.0000, 0.0000, 0.0000) [1 per cell]  3 C 2.45, 3 U 2.53
U (0.6667, 0.3333, 0.3475) [1 per cell]  3 C 2.50, 3 Np 2.53
C (0.3333, 0.6667, 0.6836) [1 per cell]  3 Np 2.45, 3 U 2.50

Calculated values
DOS at the Fermi energy = 2.06 states/eV/atom

Structures ranked by computed energy, the most stable listed first: entry B, entry A.